{"formula": "BaFe4O8", "functional": "PBE+U", "state": "optimized geometry", "spacegroup": "P-31m (162)", "density_g_cm3": 3.64, "dft_energy_ev_per_cell": -81.15, "lattice": [[2.809, -4.866, 0.000], [2.809, 4.866, 0.000], [0.000, 0.000, 8.152]], "species": ["Fe", "O", "O", "Fe", "Fe", "O", "O", "O", "O", "O", "O", "Fe", "Ba"], "fractional_positions": [[0.667, 0.333, 0.771], [0.667, 0.333, 0.000], [0.333, 0.667, 0.000], [0.333, 0.667, 0.771], [0.333, 0.667, 0.229], [0.351, 0.000, 0.272], [0.000, 0.649, 0.728], [0.649, 0.649, 0.272], [0.000, 0.351, 0.272], [0.649, 0.000, 0.728], [0.351, 0.351, 0.728], [0.667, 0.333, 0.229], [0.000, 0.000, 0.000]]}